Entry 1:
Crystalline ErHfZn at its relaxed geometry, computed with GGA-PBE.

Values from the calculation:
Spin magnetization in μB per atom: 0.000
Electronic total energy in eV per cell: -32.38
Distance to the lowest polymorph of the same formula in meV per atom: 0
Calculated volume in A^3/atom: 21.99
E_form in eV/atom: -0.13

a b c (Å): 3.2996 3.2996 12.1171
angles (deg): 90.00 90.00 90.00
With the nearest neighbours (Å) after each atom.
Space group I4mm (No. 107)
Symmetry-distinct sites (fractional):
1 Er 0.0000 0.0000 0.0000 x2  4 Zn 3.12, 4 Hf 3.25, 4 Er 3.30
2 Hf 0.0000 0.0000 0.3131 x2  4 Zn 2.90
3 Zn 0.0000 0.0000 0.6707 x2  4 Hf 2.90, 4 Er 3.12

Entry 2:
Crystalline ErHf2Zr at its relaxed geometry, computed with GGA-PBE.

Values from the calculation:
Spin magnetization in μB per atom: 0.000
Electronic total energy in eV per cell: -32.46
Distance to the lowest polymorph of the same formula in meV per atom: 39
Calculated volume in A^3/atom: 24.10
E_form in eV/atom: 0.14

a b c (Å): 4.5771 4.5771 4.6014
angles (deg): 90.00 90.00 90.00
With the nearest neighbours (Å) after each atom.
Space group P4/mmm (No. 123)
Symmetry-distinct sites (fractional):
1 Er 0.0000 0.0000 0.0000 x1  4 Zr 3.24, 8 Hf 3.25
2 Hf 0.0000 0.5000 0.5000 x2  4 Hf 3.24, 4 Zr 3.25, 4 Er 3.25
3 Zr 0.5000 0.5000 0.0000 x1  4 Er 3.24, 8 Hf 3.25

Entry 3:
Crystalline ErHf2Zr at its relaxed geometry, computed with GGA-PBE.

Values from the calculation:
Spin magnetization in μB per atom: 0.000
Electronic total energy in eV per cell: -32.43
Distance to the lowest polymorph of the same formula in meV per atom: 47
Calculated volume in A^3/atom: 24.37
E_form in eV/atom: 0.15

a b c (Å): 3.7588 3.7588 6.9002
angles (deg): 90.00 90.00 90.00
With the nearest neighbours (Å) after each atom.
Space group P4/mmm (No. 123)
Symmetry-distinct sites (fractional):
1 Er 0.0000 0.0000 0.0000 x1  8 Hf 3.31, 2 Zr 3.45
2 Hf 0.5000 0.5000 0.2857 x2  1 Hf 2.96, 4 Zr 3.04, 4 Er 3.31
3 Zr 0.0000 0.0000 0.5000 x1  8 Hf 3.04

Entry 4:
Crystalline ErHf2Zr at its relaxed geometry, computed with GGA-PBE.

Values from the calculation:
Spin magnetization in μB per atom: 0.000
Electronic total energy in eV per cell: -97.86
Distance to the lowest polymorph of the same formula in meV per atom: 0
Calculated volume in A^3/atom: 24.22
E_form in eV/atom: 0.10

a b c (Å): 3.2621 3.2621 31.5390
angles (deg): 90.00 90.00 120.00
With the nearest neighbours (Å) after each atom.
Space group R3m (No. 160, hexagonal axes)
Symmetry-distinct sites (fractional):
1 Er 0.0000 0.0000 0.0000 x3  6 Er 3.26, 6 Hf 3.32-3.33
2 Hf 0.0000 0.0000 0.5798 x3  3 Zr 3.15, 6 Hf 3.26, 3 Er 3.32
3 Hf 0.0000 0.0000 0.7537 x3  3 Zr 3.13, 6 Hf 3.26, 3 Er 3.33
4 Zr 0.0000 0.0000 0.1665 x3  6 Hf 3.13-3.15, 6 Zr 3.26

Entry 5:
Crystalline ErHfZr14 at its relaxed geometry, computed with GGA-PBE.

Values from the calculation:
Spin magnetization in μB per atom: 0.000
Electronic total energy in eV per cell: -266.62
Calculated volume in A^3/atom: 23.63
E_form in eV/atom: 0.06

a b c (Å): 9.9552 7.5106 10.1127
angles (deg): 90.00 90.00 90.00
With the nearest neighbours (Å) after each atom.
Space group Amm2 (No. 38)
Symmetry-distinct sites (fractional):
1 Er 0.0000 0.0000 0.0000 x2  12 Zr 3.11-3.40
2 Hf 0.0000 0.0000 0.4396 x2  10 Zr 3.08-3.22
3 Zr 0.0000 0.2077 0.7185 x4  2 Er 3.11-3.25, 7 Zr 3.12-3.26, 2 Hf 3.13-3.22
4 Zr 0.2398 0.0000 0.2398 x4  9 Zr 3.11-3.37, 1 Hf 3.13, 1 Er 3.40
5 Zr 0.2530 0.2137 0.5145 x8  9 Zr 3.02-3.27, 1 Hf 3.08, 1 Er 3.32
6 Zr 0.2638 0.0000 0.7885 x4  10 Zr 3.13-3.37, 1 Er 3.39
7 Zr 0.5000 0.0000 0.0272 x2  12 Zr 3.12-3.37
8 Zr 0.5000 0.0000 0.5847 x2  10 Zr 3.02-3.25
9 Zr 0.5000 0.2120 0.3048 x4  11 Zr 3.10-3.25

Entry 6:
Crystalline ErHf2Zr at its relaxed geometry, computed with GGA-PBE.

Values from the calculation:
Spin magnetization in μB per atom: 0.000
Electronic total energy in eV per cell: -97.60
Distance to the lowest polymorph of the same formula in meV per atom: 22
Calculated volume in A^3/atom: 24.17
E_form in eV/atom: 0.12

a b c (Å): 3.2362 3.2362 31.9792
angles (deg): 90.00 90.00 120.00
With the nearest neighbours (Å) after each atom.
Space group R-3m (No. 166, hexagonal axes)
Symmetry-distinct sites (fractional):
1 Er 0.0000 0.0000 0.0000 x3  6 Er 3.24, 6 Hf 3.36
2 Hf 0.0000 0.0000 0.2461 x6  3 Zr 3.15, 6 Hf 3.24, 3 Er 3.36
3 Zr 0.0000 0.0000 0.5000 x3  6 Hf 3.15, 6 Zr 3.24

Entry 7:
Crystalline ErHfZr2 at its relaxed geometry, computed with GGA-PBE.

Values from the calculation:
Spin magnetization in μB per atom: 0.000
Electronic total energy in eV per cell: -31.14
Distance to the lowest polymorph of the same formula in meV per atom: 42
Calculated volume in A^3/atom: 24.34
E_form in eV/atom: 0.12

a b c (Å): 4.6115 4.6115 4.5785
angles (deg): 90.00 90.00 90.00
With the nearest neighbours (Å) after each atom.
Space group P4/mmm (No. 123)
Symmetry-distinct sites (fractional):
1 Er 0.0000 0.0000 0.0000 x1  8 Zr 3.25, 4 Hf 3.26
2 Hf 0.5000 0.5000 0.0000 x1  8 Zr 3.25, 4 Er 3.26
3 Zr 0.0000 0.5000 0.5000 x2  4 Hf 3.25, 4 Er 3.25, 4 Zr 3.26

Entry 8:
Crystalline ErHfZr2 at its relaxed geometry, computed with GGA-PBE.

Values from the calculation:
Spin magnetization in μB per atom: 0.000
Electronic total energy in eV per cell: -93.94
Distance to the lowest polymorph of the same formula in meV per atom: 0
Calculated volume in A^3/atom: 24.47
E_form in eV/atom: 0.07

a b c (Å): 3.2692 3.2692 31.7313
angles (deg): 90.00 90.00 120.00
With the nearest neighbours (Å) after each atom.
Space group R3m (No. 160, hexagonal axes)
Symmetry-distinct sites (fractional):
1 Er 0.0000 0.0000 0.0000 x3  6 Er 3.27, 6 Zr 3.34-3.37
2 Hf 0.0000 0.0000 0.1671 x3  6 Zr 3.14-3.15, 6 Hf 3.27
3 Zr 0.0000 0.0000 0.5798 x3  3 Hf 3.15, 6 Zr 3.27, 3 Er 3.34
4 Zr 0.0000 0.0000 0.7546 x3  3 Hf 3.14, 6 Zr 3.27, 3 Er 3.37

Entry 9:
Crystalline ErHfZr3 at its relaxed geometry, computed with GGA-PBE.

Values from the calculation:
Spin magnetization in μB per atom: 0.000
Electronic total energy in eV per cell: -80.03
Distance to the lowest polymorph of the same formula in meV per atom: 0
Calculated volume in A^3/atom: 24.27
E_form in eV/atom: 0.03

a b c (Å): 5.7091 6.1462 7.6661
angles (deg): 102.91 111.62 90.01
With the nearest neighbours (Å) after each atom.
Space group P-1 (No. 2)
Symmetry-distinct sites (fractional):
1 Er 0.0151 0.4541 0.2062 x2  8 Zr 3.22-3.35, 3 Hf 3.25-3.40, 1 Er 3.28
2 Hf 0.4233 0.2426 0.9966 x2  2 Hf 3.11-3.27, 7 Zr 3.15-3.37, 3 Er 3.25-3.40
3 Zr 0.1919 0.9565 0.1991 x2  3 Hf 3.16-3.37, 6 Zr 3.17-3.34, 3 Er 3.22-3.35
4 Zr 0.2288 0.8626 0.6051 x2  8 Zr 3.15-3.42, 2 Hf 3.18, 2 Er 3.25-3.31
5 Zr 0.3903 0.3537 0.6064 x2  7 Zr 3.15-3.42, 2 Hf 3.15-3.28, 3 Er 3.22-3.26

Entry 10:
Crystalline ErHfZr2 at its relaxed geometry, computed with GGA-PBE.

Values from the calculation:
Spin magnetization in μB per atom: 0.000
Electronic total energy in eV per cell: -93.74
Distance to the lowest polymorph of the same formula in meV per atom: 17
Calculated volume in A^3/atom: 24.40
E_form in eV/atom: 0.09

a b c (Å): 3.2478 3.2478 32.0476
angles (deg): 90.00 90.00 120.00
With the nearest neighbours (Å) after each atom.
Space group R-3m (No. 166, hexagonal axes)
Symmetry-distinct sites (fractional):
1 Er 0.0000 0.0000 0.0000 x3  6 Er 3.25, 6 Zr 3.37
2 Hf 0.0000 0.0000 0.5000 x3  6 Zr 3.15, 6 Hf 3.25
3 Zr 0.0000 0.0000 0.2458 x6  3 Hf 3.15, 6 Zr 3.25, 3 Er 3.37

Entry 11:
Crystalline ErHfZr2 at its relaxed geometry, computed with GGA-PBE.

Values from the calculation:
Spin magnetization in μB per atom: 0.000
Electronic total energy in eV per cell: -31.17
Distance to the lowest polymorph of the same formula in meV per atom: 37
Calculated volume in A^3/atom: 24.59
E_form in eV/atom: 0.11

a b c (Å): 3.7765 3.7765 6.8955
angles (deg): 90.00 90.00 90.00
With the nearest neighbours (Å) after each atom.
Space group P4/mmm (No. 123)
Symmetry-distinct sites (fractional):
1 Er 0.0000 0.0000 0.0000 x1  8 Zr 3.32, 2 Hf 3.45
2 Hf 0.0000 0.0000 0.5000 x1  8 Zr 3.05
3 Zr 0.5000 0.5000 0.2862 x2  1 Zr 2.95, 4 Hf 3.05

Entry 12:
Crystalline ErHf2Zr7 at its relaxed geometry, computed with GGA-PBE.

Values from the calculation:
Spin magnetization in μB per atom: 0.000
Electronic total energy in eV per cell: -83.61
Calculated volume in A^3/atom: 23.63
E_form in eV/atom: 0.07

a b c (Å): 4.9684 6.3158 8.5254
angles (deg): 68.35 73.15 89.94
With the nearest neighbours (Å) after each atom.
Space group P-1 (No. 2)
Symmetry-distinct sites (fractional):
1 Er 0.0000 0.0000 0.0000 x1  12 Zr 3.09-3.38
2 Hf 0.2010 0.7015 0.5973 x2  5 Zr 2.85-3.16
3 Zr 0.0000 0.5000 0.0000 x1  2 Hf 3.03, 2 Er 3.16, 8 Zr 3.33
4 Zr 0.2052 0.2050 0.5902 x2  4 Hf 2.85-3.16, 1 Er 3.09
5 Zr 0.3941 0.1507 0.2129 x2  8 Zr 3.07-3.33, 3 Hf 3.25-3.32, 2 Er 3.37
6 Zr 0.3946 0.6361 0.2131 x2  8 Zr 3.07-3.33, 3 Hf 3.24-3.32, 2 Er 3.38

Looking at calculated density for the records above, in order, we have 10.4; 10.6; 10.5; 10.5; 7.1; 10.6; 9.0; 9.0; 8.5; 9.0; 8.9; 8.2 g/cm3.